<P>
Computed, not measured: a geometry-optimized TlZnP2 structure at the GGA-PBE level of DFT.

The structure in POSCAR format:
```
TlZnP2
1.0
-9.1206 1.8696 -2.2346
-9.4439 -1.0512 -1.1758
-9.4435 1.3452 0.8277
P Tl Zn
2 1 1
direct
0.0182 0.0182 0.0182
0.4818 0.4818 0.4818
0.2500 0.2500 0.2500
0.7500 0.7500 0.7500
```

Values from the calculation:
Size of the total moment = 0.0 Bohr magnetons per cell
V = 19.9 Å³/atom



<Q>
Computed, not measured: a geometry-optimized TlZnP2 structure at the GGA-PBE level of DFT.

The structure in POSCAR format:
```
TlZnP2
1.0
0.0000 3.3819 3.3819
3.3819 0.0000 3.3819
3.3819 3.3819 0.0000
P Tl Zn
2 1 1
direct
0.2500 0.2500 0.2500
0.7500 0.7500 0.7500
0.5000 0.5000 0.5000
0.0000 0.0000 0.0000
```

Values from the calculation:
Size of the total moment = 0.0 Bohr magnetons per cell
V = 19.3 Å³/atom



Going by the energies, <P> is most stable and the next is 21.4 kJ/mol of atoms up.